Entry 1:
## YAlZn4 (PBE)

Data for crystalline YAlZn4 at its relaxed geometry.

* polymorph energy (0 for the lowest one): 48 meV per atom
* magnetization: 0.00 μB per formula unit
* energy of formation: -0.090 eV per atom

Cell lengths 4.332, 6.685, 8.136 Å; angles 90.00, 105.44, 90.00 degrees
Positions (direct):
Zn 0.760 0.924 0.519
Zn 0.568 0.750 0.135
Zn 0.000 0.000 0.000
Zn 0.000 0.500 0.000
Zn 0.760 0.576 0.519
Zn 0.240 0.076 0.481
Zn 0.240 0.424 0.481
Zn 0.432 0.250 0.865
Y 0.381 0.750 0.762
Y 0.619 0.250 0.238
Al 0.841 0.250 0.683
Al 0.159 0.750 0.317

---

Entry 2:
## YAlZn2 (PBE)

Data for crystalline YAlZn2 at its relaxed geometry.

* polymorph energy (0 for the lowest one): 133 meV per atom
* magnetization: 0.00 μB per formula unit
* energy of formation: -0.281 eV per atom

Cell lengths 4.246, 4.246, 5.696 Å; angles 68.02, 68.02, 60.04 degrees
Positions (direct):
Y 0.253 0.253 0.240
Al 0.463 0.463 0.611
Zn 0.038 0.038 0.885
Zn 0.746 0.746 0.763

---

Entry 3:
## YAlZn2 (PBE)

Data for crystalline YAlZn2 at its relaxed geometry.

* polymorph energy (0 for the lowest one): 475 meV per atom
* magnetization: 0.00 μB per formula unit
* energy of formation: 0.061 eV per atom

Cell lengths 9.101, 9.101, 9.101 Å; angles 20.84, 20.84, 20.84 degrees
Positions (direct):
Zn 0.252 0.252 0.252
Zn 0.990 0.990 0.990
Al 0.510 0.510 0.510
Y 0.748 0.748 0.748

---

Entry 4:
## Y2AlZn (PBE)

Data for crystalline Y2AlZn at its relaxed geometry.

* polymorph energy (0 for the lowest one): 1 meV per atom
* magnetization: 0.00 μB per formula unit
* energy of formation: -0.403 eV per atom

Cell lengths 3.592, 3.556, 8.102 Å; angles 63.96, 90.00, 90.00 degrees
Positions (direct):
Al 0.500 0.750 0.750
Y 0.000 0.504 0.495
Y 0.000 0.996 0.005
Zn 0.500 0.250 0.250

---

Entry 5:
## YAlZn2 (PBE)

Data for crystalline YAlZn2 at its relaxed geometry.

* polymorph energy (0 for the lowest one): 109 meV per atom
* magnetization: 0.00 μB per formula unit
* energy of formation: -0.305 eV per atom

Cell lengths 4.293, 4.293, 5.529 Å; angles 67.28, 67.28, 59.87 degrees
Positions (direct):
Y 0.250 0.250 0.250
Al 0.750 0.750 0.750
Zn 0.466 0.466 0.601
Zn 0.034 0.034 0.899

---

Entry 6:
## Y3Al2Zn4 (PBE)

Data for crystalline Y3Al2Zn4 at its relaxed geometry.

* magnetization: 0.00 μB per formula unit
* energy of formation: -0.450 eV per atom

Cell lengths 4.489, 5.735, 8.533 Å; angles 110.95, 90.00, 113.04 degrees
Positions (direct):
Zn 0.285 0.570 0.953
Zn 0.715 0.430 0.047
Zn 0.071 0.143 0.406
Zn 0.929 0.857 0.594
Y 0.337 0.674 0.327
Y 0.000 0.000 0.000
Y 0.663 0.326 0.673
Al 0.382 0.765 0.717
Al 0.618 0.235 0.283

---

Entry 7:
## YAl4Zn (PBE)

Data for crystalline YAl4Zn at its relaxed geometry.

* magnetization: 0.00 μB per formula unit
* energy of formation: 0.109 eV per atom

Cell lengths 5.122, 5.122, 10.858 Å; angles 103.64, 103.64, 90.00 degrees
Positions (direct):
Al 0.604 0.350 0.208
Al 0.608 0.854 0.708
Al 0.142 0.396 0.792
Al 0.146 0.392 0.292
Al 0.604 0.858 0.208
Al 0.100 0.854 0.708
Al 0.146 0.900 0.292
Al 0.650 0.396 0.792
Y 0.750 0.250 0.500
Y 0.000 0.000 0.000
Zn 0.250 0.750 0.500
Zn 0.500 0.500 0.000

---

Entry 8:
## YAl4Zn (PBE)

Data for crystalline YAl4Zn at its relaxed geometry.

* magnetization: 0.00 μB per formula unit
* energy of formation: -0.130 eV per atom

Cell lengths 5.478, 5.478, 5.478 Å; angles 60.00, 60.00, 60.00 degrees
Positions (direct):
Y 0.750 0.750 0.750
Al 0.375 0.375 0.875
Al 0.875 0.375 0.375
Al 0.375 0.375 0.375
Al 0.375 0.875 0.375
Zn 0.000 0.000 0.000

---

Entry 9:
## Y2Al2Zn15 (PBE)

Data for crystalline Y2Al2Zn15 at its relaxed geometry.

* magnetization: 0.00 μB per formula unit
* energy of formation: -0.228 eV per atom

Cell lengths 6.802, 6.802, 6.802 Å; angles 83.21, 83.21, 83.21 degrees
Positions (direct):
Zn 0.352 0.836 0.352
Zn 0.648 0.164 0.648
Zn 0.000 0.500 0.000
Zn 0.000 0.302 0.698
Zn 0.698 0.302 0.000
Zn 0.302 0.698 0.000
Zn 0.648 0.648 0.164
Zn 0.302 0.000 0.698
Zn 0.000 0.000 0.500
Zn 0.836 0.352 0.352
Zn 0.500 0.000 0.000
Zn 0.352 0.352 0.836
Zn 0.164 0.648 0.648
Zn 0.698 0.000 0.302
Zn 0.000 0.698 0.302
Y 0.664 0.664 0.664
Y 0.336 0.336 0.336
Al 0.100 0.100 0.100
Al 0.900 0.900 0.900

---

Entry 10:
## Y2AlZn2 (PBE)

Data for crystalline Y2AlZn2 at its relaxed geometry.

* magnetization: 0.00 μB per formula unit
* energy of formation: -0.393 eV per atom

Cell lengths 3.526, 4.400, 7.293 Å; angles 107.42, 90.00, 90.00 degrees
Positions (direct):
Y 0.500 0.621 0.239
Y 0.500 0.379 0.761
Zn 0.000 0.201 0.400
Zn 0.000 0.799 0.600
Al 0.000 0.000 0.000

---

Entry 11:
## YAlZn2 (PBE)

Data for crystalline YAlZn2 at its relaxed geometry.

* polymorph energy (0 for the lowest one): 370 meV per atom
* magnetization: 0.00 μB per formula unit
* energy of formation: -0.044 eV per atom

Cell lengths 4.548, 4.548, 9.229 Å; angles 75.74, 75.74, 90.00 degrees
Positions (direct):
Y 0.750 0.250 0.500
Y 0.000 0.000 0.000
Zn 0.875 0.735 0.750
Zn 0.375 0.515 0.750
Zn 0.265 0.625 0.250
Zn 0.485 0.125 0.250
Al 0.500 0.500 0.000
Al 0.250 0.750 0.500

---

Entry 12:
## Y3AlZn3 (PBE)

Data for crystalline Y3AlZn3 at its relaxed geometry.

* magnetization: 0.00 μB per formula unit
* energy of formation: -0.368 eV per atom

Cell lengths 4.313, 5.783, 13.878 Å; angles 84.53, 81.06, 68.10 degrees
Positions (direct):
Zn 0.129 0.282 0.459
Zn 0.961 0.845 0.234
Zn 0.871 0.718 0.541
Zn 0.039 0.155 0.766
Zn 0.892 0.140 0.075
Zn 0.108 0.860 0.925
Y 0.608 0.704 0.079
Y 0.467 0.682 0.384
Y 0.251 0.272 0.227
Y 0.533 0.318 0.616
Y 0.392 0.296 0.921
Y 0.749 0.728 0.773
Al 0.754 0.096 0.396
Al 0.246 0.904 0.604